No. 1
# Ce2EuPb

A relaxed structure of Ce2EuPb (GGA-PBE, Alexandria via LeMat-Bulk).

```
data_Ce2EuPb
_space_group_name_H-M_alt 'P 4/m m m'
_space_group_IT_number 123
_space_group_name_Hall '-P 4 2'
_cell_length_a 4.301
_cell_length_b 4.301
_cell_length_c 7.046
_cell_angle_alpha 90.00
_cell_angle_beta 90.00
_cell_angle_gamma 90.00
loop_
_atom_site_label
_atom_site_type_symbol
_atom_site_fract_x
_atom_site_fract_y
_atom_site_fract_z
Ce1 Ce 0.000 0.000 0.198
Eu1 Eu 0.500 0.500 0.500
Pb1 Pb 0.500 0.500 0.000
```

Final energy, eV per cell: -26.53
Crystal system: tetragonal



No. 2
# YCoSn3

A relaxed structure of YCoSn3 (GGA-PBE, Alexandria via LeMat-Bulk).

```
data_YCoSn3
_space_group_name_H-M_alt 'P m -3 m'
_space_group_IT_number 221
_space_group_name_Hall '-P 4 2 3'
_cell_length_a 4.973
_cell_length_b 4.973
_cell_length_c 4.973
_cell_angle_alpha 90.00
_cell_angle_beta 90.00
_cell_angle_gamma 90.00
loop_
_atom_site_label
_atom_site_type_symbol
_atom_site_fract_x
_atom_site_fract_y
_atom_site_fract_z
Y1 Y 0.000 0.000 0.000
Co1 Co 0.500 0.500 0.500
Sn1 Sn 0.000 0.500 0.500
```

Final energy, eV per cell: -25.73
Crystal system: cubic



No. 3
# CuPPt2

A relaxed structure of CuPPt2 (GGA-PBE, Alexandria via LeMat-Bulk).

```
data_CuPPt2
_space_group_name_H-M_alt 'P 4/m m m'
_space_group_IT_number 123
_space_group_name_Hall '-P 4 2'
_cell_length_a 2.947
_cell_length_b 2.947
_cell_length_c 6.601
_cell_angle_alpha 90.00
_cell_angle_beta 90.00
_cell_angle_gamma 90.00
loop_
_atom_site_label
_atom_site_type_symbol
_atom_site_fract_x
_atom_site_fract_y
_atom_site_fract_z
Cu1 Cu 0.000 0.000 0.000
P1 P 0.000 0.000 0.500
Pt1 Pt 0.500 0.500 0.262
```

Final energy, eV per cell: -21.90
Crystal system: tetragonal



No. 4
# Rb2AcSiS4

A relaxed structure of Rb2AcSiS4 (GGA-PBE, Alexandria via LeMat-Bulk).

```
data_Rb2AcSiS4
_space_group_name_H-M_alt 'I -4'
_space_group_IT_number 82
_space_group_name_Hall 'I -4'
_cell_length_a 7.901
_cell_length_b 7.901
_cell_length_c 8.564
_cell_angle_alpha 90.00
_cell_angle_beta 90.00
_cell_angle_gamma 90.00
loop_
_atom_site_label
_atom_site_type_symbol
_atom_site_fract_x
_atom_site_fract_y
_atom_site_fract_z
Rb1 Rb 0.000 0.000 0.000
Rb2 Rb 0.000 0.500 0.250
Ac1 Ac 0.000 0.500 0.750
Si1 Si 0.000 0.000 0.500
S1 S 0.139 0.825 0.644
```

Final energy, eV per cell: -73.98
Formation energy (no corrections), kJ per mole of atoms: -108.7
Crystal system: tetragonal



No. 5
# NdPPt3

A relaxed structure of NdPPt3 (GGA-PBE, Alexandria via LeMat-Bulk).

```
data_NdPPt3
_space_group_name_H-M_alt 'I 4 m m'
_space_group_IT_number 107
_space_group_name_Hall 'I 4 -2'
_cell_length_a 4.074
_cell_length_b 4.074
_cell_length_c 10.987
_cell_angle_alpha 90.00
_cell_angle_beta 90.00
_cell_angle_gamma 90.00
loop_
_atom_site_label
_atom_site_type_symbol
_atom_site_fract_x
_atom_site_fract_y
_atom_site_fract_z
Nd1 Nd 0.000 0.000 0.000
P1 P 0.000 0.000 0.375
Pt1 Pt 0.000 0.000 0.582
Pt2 Pt 0.000 0.500 0.261
```

Final energy, eV per cell: -66.61
Crystal system: tetragonal



No. 6
# La2YZr

A relaxed structure of La2YZr (GGA-PBE, Alexandria via LeMat-Bulk).

```
data_La2YZr
_space_group_name_H-M_alt 'F -4 3 m'
_space_group_IT_number 216
_space_group_name_Hall 'F -4 2 3'
_cell_length_a 7.993
_cell_length_b 7.993
_cell_length_c 7.993
_cell_angle_alpha 90.00
_cell_angle_beta 90.00
_cell_angle_gamma 90.00
loop_
_atom_site_label
_atom_site_type_symbol
_atom_site_fract_x
_atom_site_fract_y
_atom_site_fract_z
La1 La 0.000 0.000 0.000
La2 La 0.250 0.250 0.250
Y1 Y 0.000 0.000 0.500
Zr1 Zr 0.250 0.250 0.750
```

Final energy, eV per cell: -95.37
Crystal system: cubic



No. 7
# ScInHRu2

A relaxed structure of ScInHRu2 (GGA-PBE, Alexandria via LeMat-Bulk).

```
data_ScInHRu2
_space_group_name_H-M_alt 'P 4/m m m'
_space_group_IT_number 123
_space_group_name_Hall '-P 4 2'
_cell_length_a 4.153
_cell_length_b 4.153
_cell_length_c 3.976
_cell_angle_alpha 90.00
_cell_angle_beta 90.00
_cell_angle_gamma 90.00
loop_
_atom_site_label
_atom_site_type_symbol
_atom_site_fract_x
_atom_site_fract_y
_atom_site_fract_z
Sc1 Sc 0.000 0.000 0.000
In1 In 0.500 0.500 0.000
H1 H 0.000 0.000 0.500
Ru1 Ru 0.000 0.500 0.500
```

Final energy, eV per cell: -32.25
Crystal system: tetragonal



No. 8
# Tc2IrOsAu

A relaxed structure of Tc2IrOsAu (GGA-PBE, Alexandria via LeMat-Bulk).

```
data_Tc2IrOsAu
_space_group_name_H-M_alt 'P 4/m m m'
_space_group_IT_number 123
_space_group_name_Hall '-P 4 2'
_cell_length_a 4.686
_cell_length_b 4.686
_cell_length_c 4.747
_cell_angle_alpha 90.00
_cell_angle_beta 90.00
_cell_angle_gamma 90.00
loop_
_atom_site_label
_atom_site_type_symbol
_atom_site_fract_x
_atom_site_fract_y
_atom_site_fract_z
Tc1 Tc 0.000 0.500 0.000
Ir1 Ir 0.000 0.000 0.500
Os1 Os 0.000 0.000 0.000
Au1 Au 0.500 0.500 0.500
```

Final energy, eV per cell: -35.47
Crystal system: tetragonal



No. 9
# Rb3U2O9

A relaxed structure of Rb3U2O9 (GGA-PBE, Alexandria via LeMat-Bulk).

```
data_Rb3U2O9
_space_group_name_H-M_alt 'P -3 m 1'
_space_group_IT_number 164
_space_group_name_Hall '-P 3 2"'
_cell_length_a 6.2436
_cell_length_b 6.2436
_cell_length_c 8.1027
_cell_angle_alpha 90.00
_cell_angle_beta 90.00
_cell_angle_gamma 120.00
loop_
_atom_site_label
_atom_site_type_symbol
_atom_site_fract_x
_atom_site_fract_y
_atom_site_fract_z
Rb1 Rb 0.0000 0.0000 0.0000
Rb2 Rb 0.3333 0.6667 0.3663
U1 U 0.3333 0.6667 0.8495
O1 O 0.0000 0.5000 0.0000
O2 O 0.1857 0.3713 0.7129
```

Final energy, eV per cell: -100.89
Formation energy (no corrections), kJ per mole of atoms: -212.2
Crystal system: trigonal



No. 10
# CaZnAu2

A relaxed structure of CaZnAu2 (GGA-PBE, Alexandria via LeMat-Bulk).

```
data_CaZnAu2
_space_group_name_H-M_alt 'F -4 3 m'
_space_group_IT_number 216
_space_group_name_Hall 'F -4 2 3'
_cell_length_a 6.847
_cell_length_b 6.847
_cell_length_c 6.847
_cell_angle_alpha 90.00
_cell_angle_beta 90.00
_cell_angle_gamma 90.00
loop_
_atom_site_label
_atom_site_type_symbol
_atom_site_fract_x
_atom_site_fract_y
_atom_site_fract_z
Ca1 Ca 0.000 0.000 0.000
Zn1 Zn 0.250 0.250 0.750
Au1 Au 0.000 0.000 0.500
Au2 Au 0.250 0.250 0.250
```

Final energy, eV per cell: -46.22
Crystal system: cubic



No. 11
# CaAlPb2

A relaxed structure of CaAlPb2 (GGA-PBE, Alexandria via LeMat-Bulk).

```
data_CaAlPb2
_space_group_name_H-M_alt 'F -4 3 m'
_space_group_IT_number 216
_space_group_name_Hall 'F -4 2 3'
_cell_length_a 7.704
_cell_length_b 7.704
_cell_length_c 7.704
_cell_angle_alpha 90.00
_cell_angle_beta 90.00
_cell_angle_gamma 90.00
loop_
_atom_site_label
_atom_site_type_symbol
_atom_site_fract_x
_atom_site_fract_y
_atom_site_fract_z
Ca1 Ca 0.000 0.000 0.000
Al1 Al 0.250 0.250 0.250
Pb1 Pb 0.000 0.000 0.500
Pb2 Pb 0.250 0.250 0.750
```

Final energy, eV per cell: -53.48
Crystal system: cubic



No. 12
# Rb4Hg12Pb

A relaxed structure of Rb4Hg12Pb (GGA-PBE, Alexandria via LeMat-Bulk).

```
data_Rb4Hg12Pb
_space_group_name_H-M_alt 'I m -3 m'
_space_group_IT_number 229
_space_group_name_Hall '-I 4 2 3'
_cell_length_a 10.474
_cell_length_b 10.474
_cell_length_c 10.474
_cell_angle_alpha 90.00
_cell_angle_beta 90.00
_cell_angle_gamma 90.00
loop_
_atom_site_label
_atom_site_type_symbol
_atom_site_fract_x
_atom_site_fract_y
_atom_site_fract_z
Rb1 Rb 0.250 0.250 0.250
Hg1 Hg 0.000 0.000 0.312
Hg2 Hg 0.000 0.250 0.500
Pb1 Pb 0.000 0.000 0.000
```

Final energy, eV per cell: -28.31
Crystal system: cubic